Entry 1:
This record from Alexandria describes In2MoCl after structural relaxation. The functional is GGA-PBE.

Computed properties:
- Calculated volume: 21.0 A^3/atom
- Formation energy (no corrections): 0.6 eV per formula unit
- Uncorrected energy: -4.3990 eV/atom
- Offset from the most stable computed form: 0.0589 eV/atom

abc: 3.3109 3.3109 26.5129
angles: 90.00 90.00 120.00
Space group R-3m (No. 166, hexagonal axes)
Asymmetric unit:
In (0.0000, 0.0000, 0.2464)
Mo (0.0000, 0.0000, 0.5000)
Cl (0.0000, 0.0000, 0.0000)

Entry 2:
This record from Alexandria describes HoAgSnCl6 after structural relaxation. The functional is GGA-PBE.

Computed properties:
- Calculated volume: 28.6 A^3/atom
- Formation energy (no corrections): -12.9 eV per formula unit
- Uncorrected energy: -3.9337 eV/atom

abc: 6.8677 6.8677 12.6090
angles: 90.00 90.00 120.00
Space group P-31c (No. 163)
Asymmetric unit:
Ho (0.3333, 0.6667, 0.2500)
Ag (0.3333, 0.6667, 0.7500)
Sn (0.0000, 0.0000, 0.0000)
Cl (0.0154, 0.3527, 0.1295)

Entry 3:
This record from Alexandria describes TmTaCo10 after structural relaxation. The functional is GGA-PBE.

Computed properties:
- Calculated volume: 12.9 A^3/atom
- Uncorrected energy: -7.3110 eV/atom

abc: 3.975 4.746 8.237
angles: 90.00 90.00 90.00
Space group Pmmm (No. 47)
Asymmetric unit:
Tm (0.000, 0.000, 0.000)
Ta (0.000, 0.500, 0.500)
Co (0.000, 0.000, 0.345)
Co (0.000, 0.500, 0.181)
Co (0.500, 0.000, 0.500)
Co (0.500, 0.255, 0.258)
Co (0.500, 0.500, 0.000)

Entry 4:
This record from Alexandria describes CaSc2Os after structural relaxation. The functional is GGA-PBE.

Computed properties:
- Calculated volume: 20.3 A^3/atom
- Uncorrected energy: -6.4551 eV/atom
- Offset from the most stable computed form: 0.2425 eV/atom

abc: 6.880 6.880 6.880
angles: 90.00 90.00 90.00
Space group Fm-3m (No. 225)
Asymmetric unit:
Ca (0.000, 0.000, 0.000)
Sc (0.250, 0.250, 0.250)
Os (0.000, 0.000, 0.500)